DyEr2Ga3CuGe2 after structural relaxation. Source: the Open Quantum Materials Database, functional PBE.

The total energy is -83.11 eV per cell.

It has space group Amm2 (No. 38), with a = 4.127 Å, b = 12.143 Å, c = 6.995 Å, α = 90.00°, β = 90.00° and γ = 90.00°. The inequivalent atoms are Dy at (0.000, 0.000, 0.000), Er at (0.000, 0.201, 0.398), Ga at (0.500, 0.000, 0.363), Ga at (0.500, 0.118, 0.715), Cu at (0.000, 0.000, 0.596) and Ge at (0.500, 0.168, 0.099).